Below is MnIn2Rh after structural relaxation, with properties calculated at the PBE-GGA level.

a = 4.5314 Å, b = 4.5314 Å, c = 4.5314 Å
α = 60.00°, β = 60.00°, γ = 60.00°
With the nearest neighbours (Å) after each atom.
Element x y z (fractional)
1 Mn 0.0000 0.0000 0.0000  8 In 2.77
2 In 0.2500 0.2500 0.2500  4 Mn 2.77, 4 Rh 2.77
3 In 0.7500 0.7500 0.7500  4 Rh 2.77, 4 Mn 2.77
4 Rh 0.5000 0.5000 0.5000  8 In 2.77

The calculated volume is 16.4 Å³/atom. As for the mass density: 9.78 g/cm3. Its total DFT energy (no corrections) is -5.36 eV per atom. The space group is Fm-3m. The formation energy comes out at 0.141 eV/atom.

Below is Y2MnCu after structural relaxation, with properties calculated at the PBE-GGA level.

a = 8.8435 Å, b = 8.8435 Å, c = 8.8435 Å
α = 23.16°, β = 23.16°, γ = 23.16°
With the nearest neighbours (Å) after each atom.
Element x y z (fractional)
1 Y 0.2461 0.2461 0.2461  3 Cu 2.90, 3 Mn 3.04
2 Y 0.7539 0.7539 0.7539  3 Cu 2.90, 3 Mn 3.04
3 Mn 0.0000 0.0000 0.0000  6 Y 3.04
4 Cu 0.5000 0.5000 0.5000  6 Y 2.90

The calculated volume is 23.5 Å³/atom. As for the mass density: 5.24 g/cm3. Its total DFT energy (no corrections) is -6.27 eV per atom. The space group is R-3m. The formation energy comes out at 0.276 eV/atom.

Below is La2Cu3Ge4Rh after structural relaxation, with properties calculated at the PBE-GGA level.

a = 4.3189 Å, b = 4.3189 Å, c = 9.9969 Å
α = 90.00°, β = 90.00°, γ = 90.00°
With the nearest neighbours (Å) after each atom.
Element x y z (fractional)
1 La 0.0000 0.5000 0.2502  8 Ge 3.29-3.30, 6 Cu 3.29-3.30, 2 Rh 3.30
2 La 0.5000 0.0000 0.7498  8 Ge 3.29-3.30, 6 Cu 3.29-3.30, 2 Rh 3.30
3 Cu 0.0000 0.0000 0.0000  4 Ge 2.51
4 Cu 0.0000 0.5000 0.6264  5 Ge 2.46-2.50
5 Cu 0.5000 0.0000 0.3736  5 Ge 2.46-2.50
6 Ge 0.0000 0.0000 0.5000  4 Cu 2.50
7 Ge 0.0000 0.5000 0.8723  3 Cu 2.46-2.51, 2 Rh 2.51
8 Ge 0.5000 0.0000 0.1277  3 Cu 2.46-2.51, 2 Rh 2.51
9 Ge 0.5000 0.5000 0.5000  4 Cu 2.50
10 Rh 0.5000 0.5000 0.0000  4 Ge 2.51

The calculated volume is 18.6 Å³/atom. As for the mass density: 7.68 g/cm3. Its total DFT energy (no corrections) is -5.40 eV per atom. The space group is P-4m2. The formation energy comes out at -0.601 eV/atom.

Which of these has the highest mass density?
MnIn2Rh

Which of these has the lowest formation energy?
La2Cu3Ge4Rh

Which of these has the highest formation energy?
Y2MnCu